Record 1
A plane-wave DFT calculation with PBE was carried out for KNa2Np3S8 after structural relaxation.

Structure (extended XYZ):
```
14
Lattice="4.0832 2.3574 6.9724 -4.0832 2.3574 6.9724 0.0000 -4.7148 6.9724" Properties=species:S:1:pos:R:3 pbc="T T T"
K 0.0000 0.0000 0.0000
Na 0.0000 0.0000 7.8483
Na 0.0000 0.0000 15.7564
Np 0.0000 -2.3501 11.2959
Np -2.0353 1.1751 11.2959
Np 2.0353 1.1751 11.2959
S 0.0000 -2.0382 5.7150
S -1.7651 1.0191 5.7150
S 0.0000 0.0000 2.9872
S -1.8514 -1.0689 9.8945
S 1.7651 1.0191 5.7150
S 0.0000 0.0000 12.7251
S 1.8514 -1.0689 9.8945
S 0.0000 2.1378 9.8945
```

Total magnetization   8.0 μB/f.u.
ΔE_f (raw)   -1.236 eV/atom

Record 2
A plane-wave DFT calculation with PBE was carried out for KNaNpS3 after structural relaxation.

Structure (extended XYZ):
```
12
Lattice="7.6846 0.0000 0.0000 0.0000 4.0717 0.0000 -0.3540 0.0000 9.8844" Properties=species:S:1:pos:R:3 pbc="T T T"
K 0.4979 1.0179 1.6553
K 6.8326 3.0537 8.2291
Na 1.7975 3.0537 4.9551
Na 5.5330 1.0179 4.9293
Np 2.9563 1.0179 8.1261
Np 4.3742 3.0537 1.7583
S 0.8504 1.0179 6.6665
S 2.0089 3.0537 9.7404
S 3.2290 1.0179 3.1133
S 4.1015 3.0537 6.7711
S 5.3217 1.0179 0.1440
S 6.4801 3.0537 3.2179
```

Total magnetization   3.0 μB/f.u.
ΔE_f (raw)   -1.304 eV/atom

Record 3
A plane-wave DFT calculation with PBE was carried out for KNa3Np2S6 after structural relaxation.

Structure (extended XYZ):
```
12
Lattice="8.7900 -2.0281 0.0000 8.7900 2.0281 0.0000 -1.7182 0.0000 8.2158" Properties=species:S:1:pos:R:3 pbc="T T T"
K 0.0000 0.0000 0.0000
Na -0.8591 0.0000 4.1079
Na 5.7300 0.0000 1.3747
Na 10.1318 0.0000 6.8411
Np 4.7196 0.0000 5.4698
Np 11.1422 0.0000 2.7460
S 2.1116 0.0000 4.6130
S 2.9061 0.0000 1.0317
S 7.2355 0.0000 5.9230
S 8.6263 0.0000 2.2928
S 12.9558 0.0000 7.1841
S 13.7503 0.0000 3.6028
```

Total magnetization   6.0 μB/f.u.
ΔE_f (raw)   -1.280 eV/atom

Record 4
A plane-wave DFT calculation with PBE was carried out for K2Na2NpSe4 after structural relaxation.

Structure (extended XYZ):
```
9
Lattice="8.5292 -2.2151 0.0000 8.5292 2.2151 0.0000 -4.5371 0.0000 7.5537" Properties=species:S:1:pos:R:3 pbc="T T T"
K 1.4529 0.0000 2.1936
K 11.0684 0.0000 5.3601
Na 5.1777 0.0000 0.8040
Na 7.3435 0.0000 6.7497
Np -2.2685 0.0000 3.7769
Se 0.0693 0.0000 5.4599
Se 5.0294 0.0000 5.1774
Se 7.4919 0.0000 2.3764
Se 12.4520 0.0000 2.0938
```

Total magnetization   3.0 μB/f.u.
ΔE_f (raw)   -1.111 eV/atom

Record 5
A plane-wave DFT calculation with PBE was carried out for K3NaNp2Se6 after structural relaxation.

Structure (extended XYZ):
```
12
Lattice="3.6989 -6.4062 0.0000 3.6989 6.4062 0.0000 -2.4663 0.0000 7.6130" Properties=species:S:1:pos:R:3 pbc="T T T"
K 0.0000 0.0000 0.0000
K 3.6989 2.0322 0.0000
K 3.6989 -2.0322 0.0000
Na 2.4658 0.0000 3.8065
Np 2.4658 4.2619 3.8065
Np 2.4658 -4.2619 3.8065
Se 1.1373 2.2960 2.2459
Se -0.1733 0.0000 5.3488
Se 1.1373 -2.2960 2.2459
Se 3.7942 2.2960 5.3671
Se 5.1049 0.0000 2.2642
Se 3.7942 -2.2960 5.3671
```

Total magnetization   6.0 μB/f.u.
ΔE_f (raw)   -1.246 eV/atom

Record 6
A plane-wave DFT calculation with PBE was carried out for KNa3Np2Se6 after structural relaxation.

Structure (extended XYZ):
```
12
Lattice="9.1810 -2.1128 0.0000 9.1810 2.1128 0.0000 -1.8278 0.0000 8.5739" Properties=species:S:1:pos:R:3 pbc="T T T"
K 0.0000 0.0000 0.0000
Na -0.9139 0.0000 4.2870
Na 5.9954 0.0000 1.4273
Na 10.5388 0.0000 7.1466
Np 4.9096 0.0000 5.7138
Np 11.6246 0.0000 2.8602
Se 2.1620 0.0000 4.8307
Se 3.0412 0.0000 1.0413
Se 7.5677 0.0000 6.1927
Se 8.9665 0.0000 2.3812
Se 13.4930 0.0000 7.5326
Se 14.3721 0.0000 3.7432
```

Total magnetization   6.0 μB/f.u.
ΔE_f (raw)   -1.156 eV/atom

Record 7
A plane-wave DFT calculation with PBE was carried out for K2NaNpSe4 after structural relaxation.

Structure (extended XYZ):
```
8
Lattice="7.4472 0.0000 0.0000 0.0000 4.2837 0.0000 -2.4192 0.0000 7.5522" Properties=species:S:1:pos:R:3 pbc="T T T"
K 0.0000 0.0000 0.0000
K 3.7236 2.1418 0.0000
Na -1.2096 2.1418 3.7761
Np 2.5140 0.0000 3.7761
Se 0.3051 0.0000 5.3017
Se 1.4130 2.1418 2.2585
Se 3.6149 2.1418 5.2937
Se 4.7228 0.0000 2.2505
```

Total magnetization   2.0 μB/f.u.
ΔE_f (raw)   -1.140 eV/atom

Record 8
A plane-wave DFT calculation with PBE was carried out for K3NaNp2Te6 after structural relaxation.

Structure (extended XYZ):
```
12
Lattice="3.9614 -6.8621 0.0000 3.9614 6.8621 0.0000 -2.6411 0.0000 8.1466" Properties=species:S:1:pos:R:3 pbc="T T T"
K 0.0000 0.0000 0.0000
K 3.9614 2.1793 0.0000
K 3.9614 -2.1793 0.0000
Na 2.6408 0.0000 4.0733
Np 2.6408 4.5641 4.0733
Np 2.6408 -4.5641 4.0733
Te 1.2305 2.4378 2.3736
Te -0.1620 0.0000 5.7505
Te 1.2305 -2.4378 2.3736
Te 4.0512 2.4378 5.7730
Te 5.4437 0.0000 2.3961
Te 4.0512 -2.4378 5.7730
```

Total magnetization   6.0 μB/f.u.
ΔE_f (raw)   -0.897 eV/atom